Crystalline Ni3PdPb at its relaxed geometry, computed with GGA-PBE.

The polymorph energy (0 for the lowest one) comes out at 0 meV/atom. As for the crystal system: cubic.

The structure belongs to space group Pm-3m (No. 221); the cell edges are 4.618, 4.618 and 4.618 Å and the angles 90.00°, 90.00° and 90.00°. The asymmetric unit holds Ni at (0.000, 0.000, 0.500), Pd at (0.000, 0.000, 0.000) and Pb at (0.500, 0.500, 0.500).

---

Crystalline Ni2Pd2Pb at its relaxed geometry, computed with GGA-PBE.

As for the crystal system: tetragonal.

The structure belongs to space group I4/mmm (No. 139); the cell edges are 3.852, 3.852 and 11.334 Å and the angles 90.00°, 90.00° and 90.00°. The asymmetric unit holds Ni at (0.000, 0.000, 0.101), Pd at (0.000, 0.500, 0.250) and Pb at (0.000, 0.000, 0.500).

---

Crystalline NiPdPb3 at its relaxed geometry, computed with GGA-PBE.

The polymorph energy (0 for the lowest one) comes out at 0 meV/atom. As for the crystal system: cubic.

The structure belongs to space group Pm-3m (No. 221); the cell edges are 5.072, 5.072 and 5.072 Å and the angles 90.00°, 90.00° and 90.00°. The asymmetric unit holds Ni at (0.000, 0.000, 0.000), Pd at (0.500, 0.500, 0.500) and Pb at (0.000, 0.000, 0.500).

---

Crystalline NiPd3Pb6 at its relaxed geometry, computed with GGA-PBE.

As for the crystal system: monoclinic.

The structure belongs to space group P2_1/c (No. 14); the cell edges are 7.242, 6.924 and 11.304 Å and the angles 90.00°, 122.56° and 90.00°. The asymmetric unit holds Ni at (0.000, 0.000, 0.000), Pd at (0.308, 0.167, 0.776), Pd at (0.500, 0.000, 0.500), Pb at (0.073, 0.508, 0.755), Pb at (0.230, 0.665, 0.086) and Pb at (0.390, 0.148, 0.071).

---

Crystalline NiPd3Pb at its relaxed geometry, computed with GGA-PBE.

The polymorph energy (0 for the lowest one) comes out at 0 meV/atom. As for the crystal system: cubic.

The structure belongs to space group Pm-3m (No. 221); the cell edges are 4.644, 4.644 and 4.644 Å and the angles 90.00°, 90.00° and 90.00°. The asymmetric unit holds Ni at (0.000, 0.000, 0.000), Pd at (0.000, 0.000, 0.500) and Pb at (0.500, 0.500, 0.500).

---

Crystalline NiPd3Pb at its relaxed geometry, computed with GGA-PBE.

The polymorph energy (0 for the lowest one) comes out at 722 meV/atom. As for the crystal system: cubic.

The structure belongs to space group Pm-3m (No. 221); the cell edges are 5.039, 5.039 and 5.039 Å and the angles 90.00°, 90.00° and 90.00°. The asymmetric unit holds Ni at (0.000, 0.000, 0.000), Pd at (0.000, 0.500, 0.500) and Pb at (0.500, 0.500, 0.500).

---

Crystalline Ni2PdPb2 at its relaxed geometry, computed with GGA-PBE.

As for the crystal system: tetragonal.

The structure belongs to space group P4/mbm (No. 127); the cell edges are 7.094, 7.094 and 3.515 Å and the angles 90.00°, 90.00° and 90.00°. The asymmetric unit holds Ni at (0.125, 0.375, 0.000), Pd at (0.000, 0.000, 0.000) and Pb at (0.176, 0.676, 0.500).

---

Crystalline NiPdPb3 at its relaxed geometry, computed with GGA-PBE.

The polymorph energy (0 for the lowest one) comes out at 332 meV/atom. As for the crystal system: cubic.

The structure belongs to space group Pm-3m (No. 221); the cell edges are 5.315, 5.315 and 5.315 Å and the angles 90.00°, 90.00° and 90.00°. The asymmetric unit holds Ni at (0.000, 0.000, 0.000), Pd at (0.500, 0.500, 0.500) and Pb at (0.000, 0.500, 0.500).

---

no.,ρ (g/cm³),formation energy (eV per atom)
1,8.26,0.9433
2,10.61,0.2130
3,10.01,0.2781
4,11.27,-0.0866
5,9.70,0.4773
6,7.59,1.1998
7,11.98,0.0889
8,8.70,0.6096